DFT (PBE+U) results for a geometry-optimized K4Ac3MoO8 structure.

The structure in POSCAR format:
```
K4Ac3MoO8
1.0
7.448 0.000 0.000
0.000 7.644 0.129
-3.724 -3.717 5.270
K Ac Mo O
4 3 1 8
direct
0.500 0.000 0.000
0.500 0.000 0.500
0.000 0.000 0.000
0.000 0.000 0.500
0.500 0.500 0.000
0.500 0.500 0.500
0.000 0.500 0.500
0.000 0.500 0.000
0.217 0.690 0.973
0.217 0.690 0.435
0.267 0.300 0.533
0.755 0.690 0.973
0.245 0.310 0.027
0.733 0.700 0.467
0.783 0.310 0.565
0.783 0.310 0.027
```

- density of states at the Fermi level (states/eV/atom) = 0.00
- VASP energy (eV per atom) = -6.23
- total magnetic moment (Bohr magnetons per cell) = 3.00
- ρ (g/cm³) = 5.80